A plane-wave DFT calculation with GGA+U was carried out for crystalline Cs3FeF7 at its relaxed geometry.

Summary:
**DFT total energy**: -96.24 eV for the cell shown
**Size of the total moment**: 1.92 μB per formula unit

Cell lengths 8.5521, 8.5521, 6.2493 Å; angles 90.00, 90.00, 90.00 degrees
Last column: nearest neighbours and their distance in Å.
Fractional positions:
1 Cs 0.0000 0.0000 0.0000  6 F 3.12-3.24
2 Cs 0.1937 0.3063 0.5000  10 F 3.03-3.24
3 Cs 0.3063 0.8063 0.5000  10 F 3.03-3.24
4 Cs 0.5000 0.5000 0.0000  6 F 3.12-3.24
5 Cs 0.6937 0.1937 0.5000  10 F 3.03-3.24
6 Cs 0.8063 0.6937 0.5000  10 F 3.03-3.24
7 Fe 0.0000 0.5000 0.0000  6 F 1.83-1.85
8 Fe 0.5000 0.0000 0.0000  6 F 1.83-1.85
9 F 0.0000 0.0000 0.5000  6 Cs 3.10-3.12
10 F 0.1066 0.6066 0.2077  1 Fe 1.83
11 F 0.1066 0.6066 0.7923  1 Fe 1.83
12 F 0.1527 0.3473 0.0000  1 Fe 1.85
13 F 0.3473 0.8473 0.0000  1 Fe 1.85
14 F 0.3934 0.1066 0.2077  1 Fe 1.83
15 F 0.3934 0.1066 0.7923  1 Fe 1.83
16 F 0.5000 0.5000 0.5000  6 Cs 3.10-3.12
17 F 0.6066 0.8934 0.2077  1 Fe 1.83
18 F 0.6066 0.8934 0.7923  1 Fe 1.83
19 F 0.6527 0.1527 0.0000  1 Fe 1.85
20 F 0.8473 0.6527 0.0000  1 Fe 1.85
21 F 0.8934 0.3934 0.2077  1 Fe 1.83
22 F 0.8934 0.3934 0.7923  1 Fe 1.83